AcNbAsO: optimized geometry, PBE-GGA.

Lattice parameters (Å, degrees): 4.6673 6.6223 6.2802 90.00 90.00 90.00
Last column: nearest neighbours and their distance in Å.
Fractional positions:
Ac 0.0000 0.7344 0.4453  2 O 2.53
Ac 0.0000 0.2656 0.9453  2 O 2.53
As 0.0000 0.2530 0.4423  2 Nb 2.57
As 0.0000 0.7470 0.9423  2 Nb 2.57
Nb 0.5000 0.8916 0.0239  2 O 2.03-2.09
Nb 0.5000 0.1084 0.5239  2 O 2.03-2.09
O 0.5000 0.8440 0.3425  2 Nb 2.03-2.09
O 0.5000 0.1560 0.8425  2 Nb 2.03-2.09

Output
energy relative to the lowest polymorph listed for this composition	0.513	eV per atom
total moment	0.0034	μB/atom
DFT total energy	-7.321	eV/atom

=====

AcNbAsO: optimized geometry, PBE-GGA.

Lattice parameters (Å, degrees): 4.4504 4.4504 9.5187 90.00 90.00 90.00
Last column: nearest neighbours and their distance in Å.
Fractional positions:
Ac 0.7500 0.2500 0.5000  4 As 3.12, 4 Ac 3.15
Ac 0.2500 0.7500 0.5000  4 As 3.12, 4 Ac 3.15
As 0.7500 0.7500 0.2697  1 Nb 2.46
As 0.2500 0.2500 0.7303  1 Nb 2.46
Nb 0.7500 0.7500 0.0112  4 O 2.23, 1 As 2.46
Nb 0.2500 0.2500 0.9888  4 O 2.23, 1 As 2.46
O 0.7500 0.2500 0.0000  4 Nb 2.23
O 0.2500 0.7500 0.0000  4 Nb 2.23

Output
energy relative to the lowest polymorph listed for this composition	1.282	eV per atom
total moment	0.0058	μB/atom
DFT total energy	-6.551	eV/atom

=====

What did the first record say?
AcNbAsO: optimized geometry, PBE-GGA.

Lattice parameters (Å, degrees): 4.6673 6.6223 6.2802 90.00 90.00 90.00
Last column: nearest neighbours and their distance in Å.
Fractional positions:
Ac 0.0000 0.7344 0.4453  2 O 2.53
Ac 0.0000 0.2656 0.9453  2 O 2.53
As 0.0000 0.2530 0.4423  2 Nb 2.57
As 0.0000 0.7470 0.9423  2 Nb 2.57
Nb 0.5000 0.8916 0.0239  2 O 2.03-2.09
Nb 0.5000 0.1084 0.5239  2 O 2.03-2.09
O 0.5000 0.8440 0.3425  2 Nb 2.03-2.09
O 0.5000 0.1560 0.8425  2 Nb 2.03-2.09

Output
energy relative to the lowest polymorph listed for this composition	0.513	eV per atom
total moment	0.0034	μB/atom
DFT total energy	-7.321	eV/atom

=====

The highest DFT total energy belongs to which entry? number 2

=====

What is the formula in the first record? AcNbAsO

=====

Look up the total moment of the second one. 0.0058 μB/atom